No. 1
First-principles (PBE) data for a relaxed structure of TiBiBr2, as listed in Alexandria.

Output
Calculated volume: 94.5 Å³/cell
VASP energy: -14.39 eV/cell
Formation energy (no corrections): 0.1835 eV per atom
Space group: Fm-3m
E above lowest polymorph: 788.2 meV/atom

Cell: 5.112 5.112 5.112 Å, 60.00 60.00 60.00°
Fractional coordinates of all 4 atoms:
1 Ti 0.000 0.000 0.000
2 Bi 0.500 0.500 0.500
3 Br 0.250 0.250 0.250
4 Br 0.750 0.750 0.750

***

No. 2
First-principles (PBE) data for a relaxed structure of LaYCl, as listed in Alexandria.

Output
Calculated volume: 85.8 Å³/cell
VASP energy: -14.65 eV/cell
Formation energy (no corrections): -0.4704 eV per atom
Space group: F-43m
E above lowest polymorph: 470.9 meV/atom

Cell: 4.950 4.950 4.950 Å, 60.00 60.00 60.00°
Fractional coordinates of all 3 atoms:
1 La 0.000 0.000 0.000
2 Y 0.500 0.500 0.500
3 Cl 0.750 0.750 0.750

***

No. 3
First-principles (PBE) data for a relaxed structure of NaTaS2Cl, as listed in Alexandria.

Output
Calculated volume: 114.5 Å³/cell
VASP energy: -27.87 eV/cell
Formation energy (no corrections): -0.9193 eV per atom
Space group: P4/mmm
E above lowest polymorph: 0.0 meV/atom

Cell: 4.822 4.822 4.923 Å, 90.00 90.00 90.00°
Fractional coordinates of all 5 atoms:
1 Na 0.000 0.000 0.000
2 Ta 0.500 0.500 0.500
3 S 0.000 0.500 0.500
4 S 0.500 0.000 0.500
5 Cl 0.500 0.500 0.000

***

No. 4
First-principles (PBE) data for a relaxed structure of PuSnSe, as listed in Alexandria.

Output
Calculated volume: 153.3 Å³/cell
VASP energy: -49.25 eV/cell
Formation energy (no corrections): -0.9348 eV per atom
Space group: I4/mmm

Cell: 9.434 9.434 9.434 Å, 154.69 154.69 36.10°
Fractional coordinates of all 6 atoms:
1 Pu 0.157 0.157 0.000
2 Pu 0.843 0.843 0.000
3 Sn 0.000 0.500 0.500
4 Sn 0.500 0.000 0.500
5 Se 0.319 0.319 0.000
6 Se 0.681 0.681 0.000

***

No. 5
First-principles (PBE) data for a relaxed structure of Y2AgPb, as listed in Alexandria.

Output
Calculated volume: 105.1 Å³/cell
VASP energy: -21.07 eV/cell
Space group: Pmmm

Cell: 3.697 3.732 7.619 Å, 90.00 90.00 90.00°
Fractional coordinates of all 4 atoms:
1 Y 0.000 0.000 0.234
2 Y 0.000 0.000 0.766
3 Ag 0.500 0.500 0.000
4 Pb 0.500 0.500 0.500

***

No. 6
First-principles (PBE) data for a relaxed structure of TaTc2Os, as listed in Alexandria.

Output
Calculated volume: 61.7 Å³/cell
VASP energy: -43.80 eV/cell
Space group: P2/m
E above lowest polymorph: 48.9 meV/atom

Cell: 4.763 2.845 4.785 Å, 90.00 107.99 90.00°
Fractional coordinates of all 4 atoms:
1 Ta 0.000 0.000 0.000
2 Tc 0.000 0.500 0.500
3 Tc 0.500 0.000 0.500
4 Os 0.500 0.500 0.000